No. 1
VASP calculation (PBE) on LiHf2IrPd after structural relaxation.

The structure in extended XYZ format:
```
5
Lattice="4.966 0.000 0.000 0.000 4.966 0.000 0.000 0.000 4.070" Properties=species:S:1:pos:R:3 pbc="T T T"
Li 0.000 0.000 0.000
Hf 0.000 2.483 2.035
Hf 2.483 0.000 2.035
Ir 2.483 2.483 0.000
Pd 0.000 0.000 2.035
```

Crystal system = tetragonal
Total moment = 0.000 Bohr magnetons per cell
DFT formation energy = 0.391 eV/atom

No. 2
VASP calculation (PBE) on LiPrHfIr after structural relaxation.

The structure in extended XYZ format:
```
4
Lattice="0.000 3.444 3.444 3.444 0.000 3.444 3.444 3.444 0.000" Properties=species:S:1:pos:R:3 pbc="T T T"
Li 0.000 0.000 0.000
Pr 1.722 1.722 1.722
Hf 5.167 5.167 5.167
Ir 3.444 3.444 3.444
```

Crystal system = cubic
Total moment = 0.000 Bohr magnetons per cell
DFT formation energy = -0.287 eV/atom

No. 3
VASP calculation (PBE) on LiHfIr2Pt after structural relaxation.

The structure in extended XYZ format:
```
5
Lattice="4.860 0.000 0.000 0.000 4.860 0.000 0.000 0.000 4.977" Properties=species:S:1:pos:R:3 pbc="T T T"
Li 0.000 0.000 0.000
Hf 2.430 2.430 2.488
Ir 0.000 2.430 2.488
Ir 2.430 0.000 2.488
Pt 2.430 2.430 0.000
```

Crystal system = tetragonal
Total moment = 0.000 Bohr magnetons per cell
DFT formation energy = 0.921 eV/atom

No. 4
VASP calculation (PBE) on LiHfIrRu after structural relaxation.

The structure in extended XYZ format:
```
4
Lattice="0.000 3.115 3.115 3.115 0.000 3.115 3.115 3.115 0.000" Properties=species:S:1:pos:R:3 pbc="T T T"
Li 0.000 0.000 0.000
Hf 3.115 3.115 3.115
Ir 1.558 1.558 1.558
Ru 4.673 4.673 4.673
```

Crystal system = cubic
Total moment = 0.000 Bohr magnetons per cell
DFT formation energy = -0.442 eV/atom

No. 5
VASP calculation (PBE) on LiHfIr2S after structural relaxation.

The structure in extended XYZ format:
```
5
Lattice="4.111 0.000 0.000 0.000 4.111 0.000 0.000 0.000 4.709" Properties=species:S:1:pos:R:3 pbc="T T T"
Li 0.000 0.000 0.000
Hf 0.000 0.000 2.354
Ir 0.000 2.056 0.000
Ir 2.056 0.000 0.000
S 2.056 2.056 2.354
```

Crystal system = tetragonal
Total moment = 0.000 Bohr magnetons per cell
Uncorrected formation energy = 737 meV per atom

No. 6
VASP calculation (PBE) on LiHfScIr after structural relaxation.

The structure in extended XYZ format:
```
4
Lattice="0.000 3.268 3.268 3.268 0.000 3.268 3.268 3.268 0.000" Properties=species:S:1:pos:R:3 pbc="T T T"
Li 0.000 0.000 0.000
Hf 4.902 4.902 4.902
Sc 1.634 1.634 1.634
Ir 3.268 3.268 3.268
```

Crystal system = cubic
Total moment = 0.000 Bohr magnetons per cell
DFT formation energy = -0.614 eV/atom

Number 1: VASP energy -0.24929 Ha/atom. Number 2: VASP energy -0.24489 Ha/atom. Number 3: VASP energy -0.22802 Ha/atom. Number 4: VASP energy -0.29191 Ha/atom. Number 5: VASP energy -0.22071 Ha/atom. Number 6: VASP energy -0.27118 Ha/atom.